Entry from Alexandria via LeMat-Bulk: crystalline La2SiPb at its relaxed geometry (GGA-PBE).

Summary:
E_form (uncorrected)   -475 meV/atom
Polymorph energy (0 for the lowest one)   87 meV/atom
Density of states at the Fermi level   3.3 states/eV/cell
Electronic total energy   -20.9 eV per cell

Unit cell a=5.687 b=5.687 c=5.687 alpha=127.21 beta=127.21 gamma=77.91
Atoms (fractional coordinates):
1 La 0.250 0.750 0.500
2 La 0.750 0.250 0.500
3 Si 0.000 0.000 0.000
4 Pb 0.500 0.500 0.000

Entry from Alexandria via LeMat-Bulk: crystalline ScMn2AlC at its relaxed geometry (GGA-PBE).

Summary:
Formation enthalpy at 0 K   -17.0 kJ/mol of atoms
Polymorph energy (0 for the lowest one)   2 meV/atom
Density of states at the Fermi level   7.6 states/eV/cell
Electronic total energy   -77.0 eV per cell

Unit cell a=5.792 b=5.792 c=7.528 alpha=90.00 beta=90.00 gamma=148.78
Atoms (fractional coordinates):
1 Sc 0.024 0.976 0.750
2 Sc 0.976 0.024 0.250
3 Mn 0.341 0.659 0.544
4 Mn 0.341 0.659 0.956
5 Mn 0.659 0.341 0.044
6 Mn 0.659 0.341 0.456
7 Al 0.251 0.749 0.250
8 Al 0.749 0.251 0.750
9 C 0.500 0.500 0.000
10 C 0.500 0.500 0.500

Entry from Alexandria via LeMat-Bulk: crystalline SiGe2PtI at its relaxed geometry (GGA-PBE).

Summary:
E_form (uncorrected)   316 meV/atom
Density of states at the Fermi level   3.7 states/eV/cell
Electronic total energy   -20.7 eV per cell

Unit cell a=5.185 b=5.185 c=4.608 alpha=90.00 beta=90.00 gamma=90.00
Atoms (fractional coordinates):
1 Si 0.000 0.000 0.000
2 Ge 0.000 0.500 0.500
3 Ge 0.500 0.000 0.500
4 Pt 0.000 0.000 0.500
5 I 0.500 0.500 0.000

Entry from Alexandria via LeMat-Bulk: crystalline ZrHgTeN2 at its relaxed geometry (GGA-PBE).

Summary:
E_form (uncorrected)   1669 meV/atom
Polymorph energy (0 for the lowest one)   1307 meV/atom
Density of states at the Fermi level   5.1 states/eV/cell
Electronic total energy   -20.3 eV per cell

Unit cell a=4.234 b=4.234 c=5.610 alpha=90.00 beta=90.00 gamma=90.00
Atoms (fractional coordinates):
1 Zr 0.000 0.000 0.000
2 Hg 0.500 0.500 0.500
3 Te 0.500 0.500 0.000
4 N 0.000 0.500 0.500
5 N 0.500 0.000 0.500

Entry from Alexandria via LeMat-Bulk: crystalline Ce4In5Pb at its relaxed geometry (GGA-PBE).

Summary:
Formation enthalpy at 0 K   -27.1 kJ/mol of atoms
Polymorph energy (0 for the lowest one)   0 meV/atom
Density of states at the Fermi level   29.3 states/eV/cell
Electronic total energy   -43.9 eV per cell

Unit cell a=8.158 b=8.158 c=8.158 alpha=145.36 beta=99.19 gamma=91.00
Atoms (fractional coordinates):
1 Ce 0.218 0.218 0.000
2 Ce 0.290 0.000 0.290
3 Ce 0.710 0.000 0.710
4 Ce 0.782 0.782 0.000
5 In 0.000 0.500 0.500
6 In 0.021 0.313 0.708
7 In 0.395 0.687 0.708
8 In 0.605 0.313 0.292
9 In 0.979 0.687 0.292
10 Pb 0.500 0.500 0.000

Entry from Alexandria via LeMat-Bulk: crystalline SmAlCdHg at its relaxed geometry (GGA-PBE).

Summary:
Formation enthalpy at 0 K   -24.4 kJ/mol of atoms
Density of states at the Fermi level   1.3 states/eV/cell
Electronic total energy   -10.7 eV per cell

Unit cell a=5.097 b=5.097 c=5.097 alpha=60.00 beta=60.00 gamma=60.00
Atoms (fractional coordinates):
1 Sm 0.000 0.000 0.000
2 Al 0.750 0.750 0.750
3 Cd 0.500 0.500 0.500
4 Hg 0.250 0.250 0.250

Entry from Alexandria via LeMat-Bulk: crystalline NdRuBr at its relaxed geometry (GGA-PBE).

Summary:
E_form (uncorrected)   -947 meV/atom
Polymorph energy (0 for the lowest one)   0 meV/atom
Density of states at the Fermi level   3.5 states/eV/cell
Electronic total energy   -37.1 eV per cell

Unit cell a=4.193 b=4.193 c=11.576 alpha=91.86 beta=91.86 gamma=61.63
Atoms (fractional coordinates):
1 Nd 0.010 0.010 0.178
2 Nd 0.990 0.990 0.822
3 Ru 0.322 0.322 0.008
4 Ru 0.678 0.678 0.992
5 Br 0.323 0.323 0.659
6 Br 0.677 0.677 0.341

Entry from Alexandria via LeMat-Bulk: crystalline Zr2CuAs at its relaxed geometry (GGA-PBE).

Summary:
Formation enthalpy at 0 K   -46.6 kJ/mol of atoms
Density of states at the Fermi level   2.7 states/eV/cell
Electronic total energy   -27.8 eV per cell

Unit cell a=4.687 b=4.687 c=3.369 alpha=90.00 beta=90.00 gamma=101.42
Atoms (fractional coordinates):
1 Zr 0.000 0.500 0.000
2 Zr 0.500 0.000 0.000
3 Cu 0.000 0.000 0.500
4 As 0.500 0.500 0.500